The following is a GGA+U calculation of MnNbCr2O6 after structural relaxation, from Alexandria via LeMat-Bulk.

M_tot   12.0 μB per formula unit
Energy   -8.27 eV per atom
Symmetry   P1, No. 1

Geometry as POSCAR:
```
MnNbCr2O6
1.0
5.1939 0.0000 0.0000
2.5668 4.6617 0.0000
0.0655 2.7133 4.8688
Mn Nb Cr O
1 1 2 6
direct
0.0000 0.0000 0.0000 Mn
0.5327 0.9520 0.5494 Nb
0.2321 0.5543 0.6339 Cr
0.7398 0.5392 0.1564 Cr
0.1827 0.0021 0.3675 O
0.3207 0.0944 0.8187 O
0.4730 0.3896 0.3812 O
0.6014 0.4813 0.8398 O
0.8360 0.7440 0.3640 O
0.9380 0.7312 0.8447 O
```